(1)
A relaxed structure of CaMg2AsW, computed with PBE.

As for the total magnetization: 0.0000 μB per atom. The volume is 24.67 Å³ per atom. Its energy of formation is 0.510 eV per atom. Its density of states at the Fermi level is 3.4 states/eV per cell.

The space group is P4/mmm (No. 123) and the conventional cell measures 5.064, 5.064 and 4.811 Å, with angles of 90.00, 90.00 and 90.00 degrees. The asymmetric unit holds Ca at (0.000, 0.000, 0.000), Mg at (0.000, 0.500, 0.500), As at (0.500, 0.500, 0.500) and W at (0.500, 0.500, 0.000).



(2)
A relaxed structure of CaMgAs2W, computed with PBE.

As for the total magnetization: 0.6840 μB per atom. The volume is 29.59 Å³ per atom. Its energy of formation is 1.603 eV per atom. Its density of states at the Fermi level is 4.7 states/eV per cell.

The space group is P4/mmm (No. 123) and the conventional cell measures 5.234, 5.234 and 5.401 Å, with angles of 90.00, 90.00 and 90.00 degrees. The asymmetric unit holds Ca at (0.000, 0.000, 0.000), Mg at (0.500, 0.500, 0.500), As at (0.000, 0.500, 0.000) and W at (0.000, 0.000, 0.500).



(3)
A relaxed structure of CaMnAs, computed with PBE.

As for the total magnetization: 1.2433 μB per atom. The volume is 22.31 Å³ per atom. Its energy of formation is -0.487 eV per atom. Its density of states at the Fermi level is 1.9 states/eV per cell.

The space group is P-6m2 (No. 187) and the conventional cell measures 4.2505, 4.2505 and 4.2770 Å, with angles of 90.00, 90.00 and 120.00 degrees. The asymmetric unit holds Ca at (0.0000, 0.0000, 0.0000), Mn at (0.6667, 0.3333, 0.5000) and As at (0.3333, 0.6667, 0.5000).



energy of formation of number 2 (CaMgAs2W)? 1.603 eV per atom



Which formula does entry 1 have? CaMg2AsW